Below is an optimized crystal structure of GdAlPbS3, with properties calculated at the GGA-PBE level.

CIF file:
```
data_GdAlPbS3
_cell_length_a 7.516
_cell_length_b 7.516
_cell_length_c 10.674
_cell_angle_alpha 90.00
_cell_angle_beta 90.00
_cell_angle_gamma 150.29
_space_group_name_H-M_alt 'P 1'
_space_group_IT_number 1
loop_
_space_group_symop_operation_xyz
'x,y,z'
loop_
_atom_site_label
_atom_site_fract_x
_atom_site_fract_y
_atom_site_fract_z
_atom_site_occupancy
Al1 0.870 0.130 0.250 1
Al2 0.130 0.870 0.750 1
Gd1 0.500 0.500 0.000 1
Gd2 0.500 0.500 0.500 1
Pb1 0.199 0.801 0.250 1
Pb2 0.801 0.199 0.750 1
S1 0.865 0.135 0.016 1
S2 0.472 0.528 0.250 1
S3 0.865 0.135 0.484 1
S4 0.135 0.865 0.516 1
S5 0.528 0.472 0.750 1
S6 0.135 0.865 0.984 1
```

Computed properties:
- Final energy: -0.37710 Ry/atom
- Symmetry: Cmcm, No. 63

Below is an optimized crystal structure of GdAlTe3Pb, with properties calculated at the GGA-PBE level.

CIF file:
```
data_GdAlTe3Pb
_cell_length_a 7.729
_cell_length_b 7.729
_cell_length_c 11.097
_cell_angle_alpha 90.00
_cell_angle_beta 90.00
_cell_angle_gamma 146.68
_space_group_name_H-M_alt 'P 1'
_space_group_IT_number 1
loop_
_space_group_symop_operation_xyz
'x,y,z'
loop_
_atom_site_label
_atom_site_fract_x
_atom_site_fract_y
_atom_site_fract_z
_atom_site_occupancy
Al1 0.026 0.974 0.250 1
Al2 0.974 0.026 0.750 1
Gd1 0.500 0.500 0.000 1
Gd2 0.500 0.500 0.500 1
Pb1 0.711 0.289 0.250 1
Pb2 0.289 0.711 0.750 1
Te1 0.145 0.855 0.051 1
Te2 0.404 0.596 0.250 1
Te3 0.145 0.855 0.449 1
Te4 0.855 0.145 0.551 1
Te5 0.596 0.404 0.750 1
Te6 0.855 0.145 0.949 1
```

Computed properties:
- Final energy: -0.30598 Ry/atom
- Symmetry: Cmcm, No. 63

Below is an optimized crystal structure of GdAlPd, with properties calculated at the GGA-PBE level.

CIF file:
```
data_GdAlPd
_cell_length_a 6.957
_cell_length_b 6.957
_cell_length_c 4.314
_cell_angle_alpha 90.00
_cell_angle_beta 90.00
_cell_angle_gamma 120.00
_space_group_name_H-M_alt 'P 1'
_space_group_IT_number 1
loop_
_space_group_symop_operation_xyz
'x,y,z'
loop_
_atom_site_label
_atom_site_fract_x
_atom_site_fract_y
_atom_site_fract_z
_atom_site_occupancy
Al1 0.667 0.333 0.000 1
Al2 0.333 0.667 0.000 1
Al3 0.000 0.000 0.500 1
Gd1 0.563 0.000 0.500 1
Gd2 0.437 0.437 0.500 1
Gd3 0.000 0.563 0.500 1
Pd1 0.242 0.000 0.000 1
Pd2 0.000 0.242 0.000 1
Pd3 0.758 0.758 0.000 1
```

Computed properties:
- Final energy: -0.38429 Ry/atom
- Symmetry: P-62m, No. 189

Below is an optimized crystal structure of GdAlPd, with properties calculated at the GGA-PBE level.

CIF file:
```
data_GdAlPd
_cell_length_a 7.071
_cell_length_b 7.071
_cell_length_c 4.177
_cell_angle_alpha 90.00
_cell_angle_beta 90.00
_cell_angle_gamma 120.00
_space_group_name_H-M_alt 'P 1'
_space_group_IT_number 1
loop_
_space_group_symop_operation_xyz
'x,y,z'
loop_
_atom_site_label
_atom_site_fract_x
_atom_site_fract_y
_atom_site_fract_z
_atom_site_occupancy
Al1 0.234 0.000 0.000 1
Al2 0.000 0.234 0.000 1
Al3 0.766 0.766 0.000 1
Gd1 0.581 0.000 0.500 1
Gd2 0.419 0.419 0.500 1
Gd3 0.000 0.581 0.500 1
Pd1 0.667 0.333 0.000 1
Pd2 0.333 0.667 0.000 1
Pd3 0.000 0.000 0.500 1
```

Computed properties:
- Final energy: -0.39596 Ry/atom
- Symmetry: P-62m, No. 189

Below is an optimized crystal structure of GdAlPd, with properties calculated at the GGA-PBE level.

CIF file:
```
data_GdAlPd
_cell_length_a 8.116
_cell_length_b 8.116
_cell_length_c 3.141
_cell_angle_alpha 90.00
_cell_angle_beta 90.00
_cell_angle_gamma 120.00
_space_group_name_H-M_alt 'P 1'
_space_group_IT_number 1
loop_
_space_group_symop_operation_xyz
'x,y,z'
loop_
_atom_site_label
_atom_site_fract_x
_atom_site_fract_y
_atom_site_fract_z
_atom_site_occupancy
Al1 0.667 0.333 0.000 1
Al2 0.333 0.667 0.000 1
Al3 0.000 0.000 0.500 1
Gd1 0.295 0.000 0.000 1
Gd2 0.000 0.295 0.000 1
Gd3 0.705 0.705 0.000 1
Pd1 0.617 0.000 0.500 1
Pd2 0.383 0.383 0.500 1
Pd3 0.000 0.617 0.500 1
```

Computed properties:
- Final energy: -0.35895 Ry/atom
- Symmetry: P-62m, No. 189

Below is an optimized crystal structure of Gd2Al8Pd, with properties calculated at the GGA-PBE level.

CIF file:
```
data_Gd2Al8Pd
_cell_length_a 4.313
_cell_length_b 4.313
_cell_length_c 11.210
_cell_angle_alpha 90.00
_cell_angle_beta 90.00
_cell_angle_gamma 90.00
_space_group_name_H-M_alt 'P 1'
_space_group_IT_number 1
loop_
_space_group_symop_operation_xyz
'x,y,z'
loop_
_atom_site_label
_atom_site_fract_x
_atom_site_fract_y
_atom_site_fract_z
_atom_site_occupancy
Al1 0.500 0.000 0.125 1
Al2 0.000 0.500 0.125 1
Al3 0.500 0.500 0.305 1
Al4 0.500 0.000 0.500 1
Al5 0.000 0.500 0.500 1
Al6 0.500 0.500 0.695 1
Al7 0.500 0.000 0.875 1
Al8 0.000 0.500 0.875 1
Gd1 0.000 0.000 0.312 1
Gd2 0.000 0.000 0.688 1
Pd1 0.000 0.000 0.000 1
```

Computed properties:
- Final energy: -0.33288 Ry/atom
- Symmetry: P4/mmm, No. 123